Record 1
## Nd4NiIr (PBE-GGA)

Data for a relaxed Nd4NiIr crystal.

Geometry as POSCAR:
```
Nd4NiIr
1.0
-1.7299 5.9904 0.9268
-1.0319 -2.7451 7.0964
7.8648 0.0063 -2.4386
Ni Ir Nd
2 2 8
Cartesian
4.3497 2.6991 1.3919
0.7533 0.5526 4.1927
-0.3964 1.5067 0.2404
5.4994 1.7450 5.3442
4.8342 5.3259 0.5102
5.5240 0.4889 2.6760
0.2688 -2.0743 5.0745
-0.4210 2.7627 2.9086
2.9912 2.8870 4.0353
2.1118 0.3647 1.5493
1.6210 3.7857 0.0295
3.4819 -0.5340 5.5551
```

Its space group is C2/c, No. 15. The formation energy comes out at -0.32 eV/atom.

=====

Record 2
## ScZn2Cu2 (PBE-GGA)

Data for a relaxed ScZn2Cu2 crystal.

Geometry as POSCAR:
```
ScZn2Cu2
1.0
7.3935 0.0000 0.0000
0.0000 7.3935 0.0000
0.0000 0.0000 2.7325
Cu Zn Sc
4 4 2
Cartesian
4.9789 6.1113 1.3662
2.4146 1.2821 1.3662
1.2821 4.9789 1.3662
6.1113 2.4146 1.3662
2.7792 6.4759 0.0000
4.6143 0.9176 0.0000
6.4759 4.6143 0.0000
0.9176 2.7792 0.0000
3.6967 3.6967 0.0000
0.0000 0.0000 0.0000
```

Its space group is P4/mbm, No. 127. The excess energy over the best structure of this formula in the dataset is 0.34 eV/f.u. The formation energy comes out at -0.13 eV/atom.

=====

Record 3
## Cs3GaF7 (PBE-GGA)

Data for a relaxed Cs3GaF7 crystal.

Geometry as POSCAR:
```
Cs3GaF7
1.0
6.3752 0.0000 0.0000
0.0000 8.5506 0.0000
0.0000 0.0000 8.5506
Ga F Cs
2 14 6
Cartesian
0.0000 0.0000 4.2753
0.0000 4.2753 0.0000
4.9794 5.2196 0.9443
0.0000 5.6265 7.1994
4.9794 0.9443 3.3310
1.3958 7.6063 5.2196
3.1876 0.0000 0.0000
1.3958 3.3310 7.6063
0.0000 1.3512 5.6265
1.3958 0.9443 3.3310
0.0000 7.1994 2.9241
4.9794 7.6063 5.2196
3.1876 4.2753 4.2753
0.0000 2.9241 1.3512
4.9794 3.3310 7.6063
1.3958 5.2196 0.9443
3.1876 6.9528 2.6775
3.1876 2.6775 1.5978
0.0000 0.0000 0.0000
0.0000 4.2753 4.2753
3.1876 5.8732 6.9528
3.1876 1.5978 5.8732
```

Its space group is P4/mbm, No. 127. For the formation energy without anion corrections, the calculation gives -2.5256 eV per atom.

=====

Record 4
## DyY2Ru2 (PBE-GGA)

Data for a relaxed DyY2Ru2 crystal.

Geometry as POSCAR:
```
DyY2Ru2
1.0
-1.8097 3.4405 -1.9547
-4.3490 -0.3866 3.3460
7.9515 6.5277 4.1277
Ru Y Dy
4 4 2
Cartesian
5.7269 6.9701 4.5447
0.9811 4.8061 0.2866
-3.9340 2.6114 0.9743
0.8118 4.7755 5.2324
2.5342 4.2076 2.6382
3.2047 6.3345 5.7610
-0.7414 5.3739 2.8809
-1.4119 3.2470 -0.2420
3.9896 7.6087 2.4341
-2.1968 1.9728 3.0849
```

Its space group is P2_1/m, No. 11. The excess energy over the best structure of this formula in the dataset is 0.44 eV/f.u. The formation energy comes out at -0.21 eV/atom.

=====

In states/eV/atom, the DOS(E_F) values for the records above are, in order, 1.26 0.52 1.40 0.79.